Model one:
AcSn3Rh | GGA-PBE | relaxed

Cell lengths 4.8683, 4.8683, 5.6167 Å; angles 90.00, 90.00, 90.00 degrees
Positions (direct):
Ac (0.5000, 0.5000, 0.8454)
Sn (0.0000, 0.0000, 0.6596)
Sn (0.5000, 0.0000, 0.3214)
Sn (0.0000, 0.5000, 0.3214)
Rh (0.0000, 0.0000, 0.1158)

Space group: P4mm (99)
D(E_F), states/eV per atom: 0.4312



Model two:
AcSn3Rh | GGA-PBE | relaxed

Cell lengths 6.3610, 6.2007, 6.8253 Å; angles 90.00, 90.00, 90.00 degrees
Positions (direct):
Ac (0.4115, 0.3191, 0.7008)
Ac (0.9117, 0.0335, 0.2007)
Sn (0.3714, 0.2834, 0.2009)
Sn (0.4638, 0.8392, 0.9625)
Sn (0.9638, 0.5137, 0.4625)
Sn (0.8712, 0.0694, 0.7007)
Sn (0.9637, 0.5136, 0.9390)
Sn (0.4638, 0.8392, 0.4391)
Rh (0.1677, 0.7832, 0.7008)
Rh (0.6678, 0.5697, 0.2008)

Space group: Pmn2_1 (31)
D(E_F), states/eV per atom: 0.4619



Top of the stability list: model two, leading by 10.4 kJ/mol of atoms.



Model one:
SrAcSnRh | GGA-PBE | relaxed

Cell lengths 5.4957, 5.4957, 5.4957 Å; angles 60.00, 60.00, 60.00 degrees
Positions (direct):
Sr (0.0000, 0.0000, 0.0000)
Ac (0.5000, 0.5000, 0.5000)
Rh (0.7500, 0.7500, 0.7500)
Sn (0.2500, 0.2500, 0.2500)

Space group: F-43m (216)
D(E_F), states/eV per atom: 0.7837



Model two:
SrAcSnRh | GGA-PBE | relaxed

Cell lengths 4.7708, 4.0619, 6.7278 Å; angles 90.00, 110.77, 90.00 degrees
Positions (direct):
Sr (0.1548, 0.0000, 0.3095)
Ac (0.8666, 0.5000, 0.7331)
Sn (0.5632, 0.5000, 0.1264)
Rh (0.4155, 0.0000, 0.8310)

Space group: Amm2 (38)
D(E_F), states/eV per atom: 0.7689



Top of the stability list: model two, leading by 21.3 kJ/mol of atoms.



Model one:
SrAcRh | GGA-PBE | relaxed

Cell lengths 5.1990, 5.1990, 5.1990 Å; angles 60.00, 60.00, 60.00 degrees
Positions (direct):
Sr (0.5000, 0.5000, 0.5000)
Ac (0.0000, 0.0000, 0.0000)
Rh (0.2500, 0.2500, 0.2500)

Space group: F-43m (216)
D(E_F), states/eV per atom: 0.4909



Model two:
SrAcRh | GGA-PBE | relaxed

Cell lengths 6.9901, 4.3140, 4.3140 Å; angles 120.00, 90.00, 90.00 degrees
Positions (direct):
Sr (0.7587, 0.6667, 0.3333)
Ac (0.2237, 0.3333, 0.6667)
Rh (0.0175, 0.0000, 0.0000)

Space group: P3m1 (156)
D(E_F), states/eV per atom: 0.2022



Model three:
SrAcRh | GGA-PBE | relaxed

Cell lengths 3.7533, 3.7533, 7.5879 Å; angles 104.32, 104.32, 90.00 degrees
Positions (direct):
Sr (0.0363, 0.0363, 0.0726)
Ac (0.2849, 0.2849, 0.5698)
Rh (0.6788, 0.6788, 0.3576)

Space group: I4mm (107)
D(E_F), states/eV per atom: 0.5381



Model four:
SrAcRh | GGA-PBE | relaxed

Cell lengths 4.3367, 4.3405, 13.8862 Å; angles 80.90, 81.02, 60.03 degrees
Positions (direct):
Sr (0.3507, 0.2822, 0.0165)
Sr (0.5888, 0.5316, 0.2908)
Ac (0.1778, 0.1178, 0.5266)
Ac (0.7617, 0.6958, 0.7808)
Rh (0.8787, 0.8198, 0.4228)
Rh (0.0608, 0.9938, 0.8846)

Space group: C2/m (12)
D(E_F), states/eV per atom: 0.3594



Top of the stability list: model four, leading by 0.6 kJ/mol of atoms.



Model one:
SrAcRh | GGA-PBE | relaxed

Cell lengths 4.4316, 7.3844, 8.4334 Å; angles 90.00, 90.00, 126.96 degrees
Positions (direct):
Sr (0.5000, 0.7500, 0.1220)
Sr (0.5000, 0.2500, 0.8780)
Ac (0.5000, 0.2500, 0.4012)
Ac (0.5000, 0.7500, 0.5988)
Rh (0.0000, 0.2500, 0.6418)
Rh (0.0000, 0.7500, 0.3582)

Space group: P2/c (13)
D(E_F), states/eV per atom: 0.4818



Model two:
SrAcRh | GGA-PBE | relaxed

Cell lengths 5.8996, 6.1364, 5.8994 Å; angles 90.00, 90.00, 90.02 degrees
Positions (direct):
Sr (0.7522, 0.5378, 0.2517)
Sr (0.2520, 0.4699, 0.7516)
Ac (0.7521, 0.0039, 0.7517)
Ac (0.2524, 0.0038, 0.2516)
Rh (0.7525, 0.0533, 0.2517)
Rh (0.2521, 0.9545, 0.7515)

Space group: P4/nmm (129)
D(E_F), states/eV per atom: 0.3934



Top of the stability list: model one, leading by 1.8 kJ/mol of atoms.



Model one:
Sr2AcRh | GGA-PBE | relaxed

Cell lengths 4.1941, 7.2187, 10.4262 Å; angles 90.00, 90.00, 106.86 degrees
Positions (direct):
Sr (0.3516, 0.7035, 0.5723)
Sr (0.6484, 0.2965, 0.4277)
Sr (0.3516, 0.7035, 0.9277)
Sr (0.6484, 0.2965, 0.0723)
Ac (0.9107, 0.8213, 0.2500)
Ac (0.0893, 0.1787, 0.7500)
Rh (0.7247, 0.4497, 0.7500)
Rh (0.2753, 0.5503, 0.2500)

Space group: Cmcm (63)
D(E_F), states/eV per atom: 0.5208



Model two:
Sr2AcRh | GGA-PBE | relaxed

Cell lengths 3.9443, 3.9443, 11.8200 Å; angles 80.40, 80.40, 60.00 degrees
Positions (direct):
Sr (0.1125, 0.1125, 0.6624)
Sr (0.8875, 0.8875, 0.3376)
Ac (0.0000, 0.0000, 0.0000)
Rh (0.5000, 0.5000, 0.5000)

Space group: R-3m (166)
D(E_F), states/eV per atom: 1.1613



Model three:
Sr2AcRh | GGA-PBE | relaxed

Cell lengths 4.2520, 4.2520, 18.2194 Å; angles 90.00, 90.00, 90.00 degrees
Positions (direct):
Sr (0.0000, 0.5000, 0.7482)
Sr (0.5000, 0.0000, 0.2518)
Sr (0.0000, 0.5000, 0.0826)
Sr (0.5000, 0.0000, 0.9174)
Ac (0.5000, 0.0000, 0.5793)
Ac (0.0000, 0.5000, 0.4207)
Rh (0.5000, 0.0000, 0.4119)
Rh (0.0000, 0.5000, 0.5881)

Space group: P4/nmm (129)
D(E_F), states/eV per atom: 0.8819



Top of the stability list: model three, leading by 1.2 kJ/mol of atoms.



Model one:
SrAc2Rh2 | GGA-PBE | relaxed

Cell lengths 7.5167, 7.5178, 7.9367 Å; angles 116.51, 91.26, 120.38 degrees
Positions (direct):
Sr (0.0862, 0.8363, 0.2501)
Sr (0.9138, 0.1637, 0.7499)
Ac (0.7498, 0.1709, 0.2530)
Ac (0.5821, 0.5032, 0.7532)
Ac (0.4179, 0.4968, 0.2468)
Ac (0.2502, 0.8291, 0.7470)
Rh (0.6486, 0.3273, 0.0067)
Rh (0.1797, 0.3582, 0.5067)
Rh (0.3514, 0.6727, 0.9933)
Rh (0.8203, 0.6418, 0.4933)

Space group: C2/c (15)
D(E_F), states/eV per atom: 0.5283



Model two:
SrAc2Rh2 | GGA-PBE | relaxed

Cell lengths 4.6474, 5.9015, 11.5866 Å; angles 79.48, 90.00, 90.00 degrees
Positions (direct):
Sr (0.2500, 0.5506, 0.2140)
Sr (0.7500, 0.4494, 0.7860)
Ac (0.2500, 0.8757, 0.8876)
Ac (0.7500, 0.1243, 0.1124)
Ac (0.2500, 0.2295, 0.5412)
Ac (0.7500, 0.7705, 0.4588)
Rh (0.2500, 0.7013, 0.6226)
Rh (0.7500, 0.2987, 0.3774)
Rh (0.2500, 0.3380, 0.9773)
Rh (0.7500, 0.6620, 0.0227)

Space group: P2_1/m (11)
D(E_F), states/eV per atom: 0.4647



Top of the stability list: model one, leading by 2.0 kJ/mol of atoms.



Model one:
SrAcRh2 | GGA-PBE | relaxed

Cell lengths 5.1735, 5.1735, 5.1735 Å; angles 60.00, 60.00, 60.00 degrees
Positions (direct):
Sr (0.5000, 0.5000, 0.5000)
Ac (0.0000, 0.0000, 0.0000)
Rh (0.2500, 0.2500, 0.2500)
Rh (0.7500, 0.7500, 0.7500)

Space group: Fm-3m (225)
D(E_F), states/eV per atom: 0.5141



Model two:
SrAcRh2 | GGA-PBE | relaxed

Cell lengths 4.3757, 4.4938, 5.9385 Å; angles 90.00, 111.59, 90.00 degrees
Positions (direct):
Sr (0.7272, 0.0000, 0.9935)
Ac (0.4458, 0.5000, 0.4309)
Rh (0.1383, 0.5000, 0.8147)
Rh (0.0197, 0.0000, 0.5788)

Space group: Amm2 (38)
D(E_F), states/eV per atom: 1.0632



Model three:
SrAcRh2 | GGA-PBE | relaxed

Cell lengths 3.7054, 3.7054, 7.2859 Å; angles 90.00, 90.00, 90.00 degrees
Positions (direct):
Sr (0.5000, 0.5000, 0.5000)
Ac (0.5000, 0.5000, 0.0000)
Rh (0.0000, 0.0000, 0.7783)
Rh (0.0000, 0.0000, 0.2217)

Space group: P4/mmm (123)
D(E_F), states/eV per atom: 0.7193



Top of the stability list: model two, leading by 4.8 kJ/mol of atoms.



Model one:
Ac2TbRh | GGA-PBE | relaxed

Cell lengths 5.5835, 5.5835, 5.5291 Å; angles 59.67, 59.67, 60.00 degrees
Positions (direct):
Rh (0.0000, 0.0000, 0.0000)
Ac (0.2486, 0.2486, 0.2543)
Ac (0.7514, 0.7514, 0.7457)
Tb (0.5000, 0.5000, 0.5000)

Space group: R-3m (166)
D(E_F), states/eV per atom: 1.2522



Model two:
Ac2TbRh | GGA-PBE | relaxed

Cell lengths 3.7872, 3.7872, 9.0712 Å; angles 90.00, 90.00, 90.00 degrees
Site moments in Bohr magnetons follow the coordinates.
Positions (direct):
Rh (0.5000, 0.5000, 0.0000)  0.04
Ac (0.0000, 0.0000, 0.8054)  0.04
Ac (0.0000, 0.0000, 0.1946)  0.04
Tb (0.5000, 0.5000, 0.5000)  0.23

Space group: P4/mmm (123)
D(E_F), states/eV per atom: 1.4914



Top of the stability list: model two, leading by 26.3 kJ/mol of atoms.



Model one:
AcTe2Rh | GGA-PBE | relaxed

Cell lengths 4.0819, 4.0819, 9.5388 Å; angles 77.65, 77.65, 60.00 degrees
Positions (direct):
Ac (0.0000, 0.0000, 0.0000)
Te (0.1192, 0.1192, 0.6425)
Te (0.8808, 0.8808, 0.3575)
Rh (0.5000, 0.5000, 0.5000)

Space group: R-3m (166)
D(E_F), states/eV per atom: 0.6178



Model two:
AcTe2Rh | GGA-PBE | relaxed

Cell lengths 3.7805, 3.7805, 7.4658 Å; angles 90.00, 90.00, 90.00 degrees
Site moments in Bohr magnetons follow the coordinates.
Positions (direct):
Ac (0.5000, 0.5000, 0.5000)  0.05
Te (0.0000, 0.0000, 0.7869)  0.06
Te (0.0000, 0.0000, 0.2131)  0.06
Rh (0.5000, 0.5000, 0.0000)  0.64

Space group: P4/mmm (123)
D(E_F), states/eV per atom: 1.2108



Top of the stability list: model one, leading by 4.4 kJ/mol of atoms.



Model one:
AcTeRh2 | GGA-PBE | relaxed

Cell lengths 4.9867, 4.9867, 4.9867 Å; angles 60.00, 60.00, 60.00 degrees
Positions (direct):
Ac (0.5000, 0.5000, 0.5000)
Te (0.0000, 0.0000, 0.0000)
Rh (0.2500, 0.2500, 0.2500)
Rh (0.7500, 0.7500, 0.7500)

Space group: Fm-3m (225)
D(E_F), states/eV per atom: 1.6757



Model two:
AcTeRh2 | GGA-PBE | relaxed

Cell lengths 4.5250, 4.5250, 5.8156 Å; angles 67.10, 67.10, 60.00 degrees
Positions (direct):
Ac (0.0000, 0.0000, 0.0000)
Te (0.5000, 0.5000, 0.5000)
Rh (0.7932, 0.7932, 0.6205)
Rh (0.2068, 0.2068, 0.3795)

Space group: R-3m (166)
D(E_F), states/eV per atom: 0.6658



Top of the stability list: model two, leading by 28.9 kJ/mol of atoms.



Model one:
AcTh2Rh | GGA-PBE | relaxed

Cell lengths 4.0122, 4.0122, 9.7658 Å; angles 78.17, 78.17, 60.04 degrees
Positions (direct):
Ac (0.4997, 0.4997, 0.4998)
Th (0.0590, 0.0590, 0.8241)
Th (0.2751, 0.2751, 0.1746)
Rh (0.6662, 0.6662, 0.0015)

Space group: R3m (160)
D(E_F), states/eV per atom: 1.3004



Model two:
AcTh2Rh | GGA-PBE | relaxed

Cell lengths 3.6829, 3.6829, 8.7854 Å; angles 90.00, 90.00, 90.00 degrees
Positions (direct):
Ac (0.5000, 0.5000, 0.5000)
Rh (0.5000, 0.5000, 0.0000)
Th (0.0000, 0.0000, 0.8131)
Th (0.0000, 0.0000, 0.1869)

Space group: P4/mmm (123)
D(E_F), states/eV per atom: 1.4073



Top of the stability list: model one, leading by 4.5 kJ/mol of atoms.



Model one:
AcTl3Rh | GGA-PBE | relaxed

Cell lengths 5.9839, 7.2438, 7.2434 Å; angles 120.00, 90.00, 90.00 degrees
Positions (direct):
Ac (0.7500, 0.6667, 0.3334)
Ac (0.2500, 0.3333, 0.6666)
Tl (0.7500, 0.6329, 0.8165)
Tl (0.2500, 0.8164, 0.6329)
Tl (0.2500, 0.3671, 0.1835)
Tl (0.7500, 0.1836, 0.3671)
Tl (0.2500, 0.8164, 0.1835)
Tl (0.7500, 0.1836, 0.8165)
Rh (0.0000, 0.0000, 0.0000)
Rh (0.5000, 0.0000, 0.0000)

Space group: P6_3/mmc (194)
D(E_F), states/eV per atom: 0.7669



Model two:
AcTl3Rh | GGA-PBE | relaxed

Cell lengths 5.2796, 5.2796, 5.2796 Å; angles 90.00, 90.00, 90.00 degrees
Positions (direct):
Ac (0.5000, 0.5000, 0.5000)
Rh (0.0000, 0.0000, 0.0000)
Tl (0.0000, 0.5000, 0.0000)
Tl (0.0000, 0.0000, 0.5000)
Tl (0.5000, 0.0000, 0.0000)

Space group: Pm-3m (221)
D(E_F), states/eV per atom: 1.0515



Top of the stability list: model one, leading by 9.7 kJ/mol of atoms.